(1)
This record from Alexandria describes a geometry-optimized SrHfTcOs2 structure. The functional is PBE.

Energy ... -7.432 eV per atom
V ... 23.81 Å³ per atom
Space group ... P4/mmm

Cell: 4.945 4.945 4.870 Å, 90.00 90.00 90.00°
Atoms (fractional coordinates):
Sr  0.000  0.000  0.000
Hf  0.500  0.500  0.500
Tc  0.500  0.500  0.000
Os  0.000  0.500  0.500
Os  0.500  0.000  0.500


(2)
This record from Alexandria describes a geometry-optimized Y2HoEr6Sc3 structure. The functional is PBE.

Energy ... -5.277 eV per atom
V ... 29.28 Å³ per atom
Space group ... C2/m

Cell: 6.005 6.005 11.423 Å, 95.02 95.02 119.96°
Atoms (fractional coordinates):
Y  0.167  0.833  0.000
Y  0.833  0.167  0.000
Ho  0.500  0.500  0.000
Er  0.081  0.414  0.740
Er  0.254  0.254  0.260
Er  0.414  0.081  0.740
Er  0.586  0.919  0.260
Er  0.746  0.746  0.740
Er  0.919  0.586  0.260
Sc  0.000  0.000  0.500
Sc  0.333  0.667  0.500
Sc  0.667  0.333  0.500


(3)
This record from Alexandria describes a geometry-optimized Tb2PmSi2 structure. The functional is PBE.

Formation energy from raw total energies ... -0.600 eV/atom
V ... 24.47 Å³ per atom
E above lowest polymorph ... 49 meV per atom
Space group ... Immm

Cell: 4.404 6.405 8.674 Å, 90.00 90.00 90.00°
Atoms (fractional coordinates):
Tb  0.000  0.000  0.199
Tb  0.000  0.000  0.801
Tb  0.500  0.500  0.301
Tb  0.500  0.500  0.699
Pm  0.000  0.500  0.000
Pm  0.500  0.000  0.500
Si  0.000  0.308  0.500
Si  0.000  0.692  0.500
Si  0.500  0.192  0.000
Si  0.500  0.808  0.000


(4)
This record from Alexandria describes a geometry-optimized Ac3La2Sb3N2 structure. The functional is PBE.

Formation energy from raw total energies ... -1.266 eV/atom
V ... 31.07 Å³ per atom
Space group ... I4/mmm

Cell: 13.665 13.665 13.665 Å, 159.57 159.57 29.05°
Atoms (fractional coordinates):
Ac  0.000  0.000  0.000
Ac  0.371  0.371  0.000
Ac  0.629  0.629  0.000
La  0.250  0.750  0.500
La  0.750  0.250  0.500
Sb  0.138  0.138  0.000
Sb  0.500  0.500  0.000
Sb  0.862  0.862  0.000
N  0.279  0.279  0.000
N  0.721  0.721  0.000